# LuPdAu4 PBE optimized geometry
# - Crystal system: cubic
# - Calculated formation energy: -0.407 eV/atom
data_LuPdAu4
_chemical_formula_sum 'Lu1 Pd1 Au4'
_cell_length_a 5.466
_cell_length_b 5.466
_cell_length_c 5.466
_cell_angle_alpha 60.00
_cell_angle_beta 60.00
_cell_angle_gamma 60.00
_symmetry_space_group_name_H-M 'P 1'
_symmetry_Int_Tables_number 1
_symmetry_space_group_name_Hall 'P 1'
loop_
_atom_site_label
_atom_site_type_symbol
_atom_site_fract_x
_atom_site_fract_y
_atom_site_fract_z
Lu1 Lu 0.000 0.000 0.000
Pd1 Pd 0.750 0.750 0.750
Au1 Au 0.375 0.375 0.375
Au2 Au 0.375 0.375 0.874
Au3 Au 0.375 0.874 0.375
Au4 Au 0.874 0.375 0.375


# Rb2HfSb2Se6 PBE optimized geometry
# - Crystal system: monoclinic
# - Formation energy from raw total energies: -8.31 eV/f.u.
data_Rb2HfSb2Se6
_chemical_formula_sum 'Rb2 Hf1 Sb2 Se6'
_cell_length_a 6.811
_cell_length_b 6.811
_cell_length_c 8.779
_cell_angle_alpha 104.16
_cell_angle_beta 104.16
_cell_angle_gamma 68.26
_symmetry_space_group_name_H-M 'P 1'
_symmetry_Int_Tables_number 1
_symmetry_space_group_name_Hall 'P 1'
loop_
_atom_site_label
_atom_site_type_symbol
_atom_site_fract_x
_atom_site_fract_y
_atom_site_fract_z
Rb1 Rb 0.186 0.186 0.108
Rb2 Rb 0.814 0.814 0.892
Hf1 Hf 0.000 0.000 0.500
Sb1 Sb 0.404 0.404 0.768
Sb2 Sb 0.596 0.596 0.232
Se1 Se 0.188 0.716 0.256
Se2 Se 0.235 0.235 0.503
Se3 Se 0.284 0.812 0.744
Se4 Se 0.716 0.188 0.256
Se5 Se 0.765 0.765 0.497
Se6 Se 0.812 0.284 0.744


# CaMgAs PBE optimized geometry
# - Relative energy among the computed polymorphs: 187 meV/atom
# - Crystal system: orthorhombic
# - Calculated formation energy: -0.472 eV/atom
data_CaMgAs
_chemical_formula_sum 'Ca1 Mg1 As1'
_cell_length_a 6.118
_cell_length_b 6.116
_cell_length_c 3.626
_cell_angle_alpha 72.78
_cell_angle_beta 72.73
_cell_angle_gamma 34.48
_symmetry_space_group_name_H-M 'P 1'
_symmetry_Int_Tables_number 1
_symmetry_space_group_name_Hall 'P 1'
loop_
_atom_site_label
_atom_site_type_symbol
_atom_site_fract_x
_atom_site_fract_y
_atom_site_fract_z
Ca1 Ca 0.000 0.000 0.000
Mg1 Mg 0.283 0.283 0.717
As1 As 0.670 0.670 0.330


# TcHPd PBE optimized geometry
# - Relative energy among the computed polymorphs: 119 meV/atom
# - Crystal system: monoclinic
data_TcHPd
_chemical_formula_sum 'Tc2 H2 Pd2'
_cell_length_a 4.911
_cell_length_b 2.807
_cell_length_c 4.923
_cell_angle_alpha 90.00
_cell_angle_beta 109.39
_cell_angle_gamma 90.00
_symmetry_space_group_name_H-M 'P 1'
_symmetry_Int_Tables_number 1
_symmetry_space_group_name_Hall 'P 1'
loop_
_atom_site_label
_atom_site_type_symbol
_atom_site_fract_x
_atom_site_fract_y
_atom_site_fract_z
Tc1 Tc 0.225 0.250 0.497
Tc2 Tc 0.775 0.750 0.503
H1 H 0.485 0.750 0.699
H2 H 0.515 0.250 0.301
Pd1 Pd 0.246 0.750 0.005
Pd2 Pd 0.754 0.250 0.995


# Fe4CuRh5 PBE optimized geometry
# - Crystal system: tetragonal
# - Calculated formation energy: -0.046 eV/atom
data_Fe4CuRh5
_chemical_formula_sum 'Fe4 Cu1 Rh5'
_cell_length_a 3.025
_cell_length_b 3.025
_cell_length_c 14.892
_cell_angle_alpha 90.00
_cell_angle_beta 90.00
_cell_angle_gamma 90.00
_symmetry_space_group_name_H-M 'P 1'
_symmetry_Int_Tables_number 1
_symmetry_space_group_name_Hall 'P 1'
loop_
_atom_site_label
_atom_site_type_symbol
_atom_site_fract_x
_atom_site_fract_y
_atom_site_fract_z
Fe1 Fe 0.000 0.000 0.102
Fe2 Fe 0.000 0.000 0.306
Fe3 Fe 0.000 0.000 0.694
Fe4 Fe 0.000 0.000 0.898
Cu1 Cu 0.000 0.000 0.500
Rh1 Rh 0.500 0.500 0.000
Rh2 Rh 0.500 0.500 0.202
Rh3 Rh 0.500 0.500 0.400
Rh4 Rh 0.500 0.500 0.600
Rh5 Rh 0.500 0.500 0.798


# LaDyY PBE optimized geometry
# - Relative energy among the computed polymorphs: 11 meV/atom
# - Crystal system: tetragonal
# - Calculated formation energy: 0.030 eV/atom
data_LaDyY
_chemical_formula_sum 'La1 Dy1 Y1'
_cell_length_a 8.077
_cell_length_b 8.077
_cell_length_c 8.077
_cell_angle_alpha 154.02
_cell_angle_beta 154.02
_cell_angle_gamma 37.08
_symmetry_space_group_name_H-M 'P 1'
_symmetry_Int_Tables_number 1
_symmetry_space_group_name_Hall 'P 1'
loop_
_atom_site_label
_atom_site_type_symbol
_atom_site_fract_x
_atom_site_fract_y
_atom_site_fract_z
La1 La 0.000 0.000 0.000
Dy1 Dy 0.332 0.332 0.000
Y1 Y 0.671 0.671 0.000


# Li3Ga2Pd3 PBE optimized geometry
# - Relative energy among the computed polymorphs: 47 meV/atom
# - Crystal system: triclinic
# - Calculated formation energy: -0.534 eV/atom
data_Li3Ga2Pd3
_chemical_formula_sum 'Li3 Ga2 Pd3'
_cell_length_a 4.621
_cell_length_b 4.788
_cell_length_c 6.113
_cell_angle_alpha 104.88
_cell_angle_beta 103.86
_cell_angle_gamma 109.13
_symmetry_space_group_name_H-M 'P 1'
_symmetry_Int_Tables_number 1
_symmetry_space_group_name_Hall 'P 1'
loop_
_atom_site_label
_atom_site_type_symbol
_atom_site_fract_x
_atom_site_fract_y
_atom_site_fract_z
Li1 Li 0.000 0.000 0.000
Li2 Li 0.124 0.622 0.245
Li3 Li 0.876 0.378 0.755
Ga1 Ga 0.259 0.262 0.522
Ga2 Ga 0.741 0.738 0.478
Pd1 Pd 0.362 0.861 0.720
Pd2 Pd 0.500 0.500 0.000
Pd3 Pd 0.638 0.139 0.280


# Rb3As4Pd7 PBE optimized geometry
# - Crystal system: monoclinic
# - Calculated formation energy: -0.325 eV/atom
data_Rb3As4Pd7
_chemical_formula_sum 'Rb3 As4 Pd7'
_cell_length_a 8.702
_cell_length_b 8.702
_cell_length_c 11.541
_cell_angle_alpha 128.28
_cell_angle_beta 128.28
_cell_angle_gamma 28.70
_symmetry_space_group_name_H-M 'P 1'
_symmetry_Int_Tables_number 1
_symmetry_space_group_name_Hall 'P 1'
loop_
_atom_site_label
_atom_site_type_symbol
_atom_site_fract_x
_atom_site_fract_y
_atom_site_fract_z
Rb1 Rb 0.000 0.000 0.000
Rb2 Rb 0.279 0.279 0.281
Rb3 Rb 0.721 0.721 0.719
As1 As 0.102 0.102 0.401
As2 As 0.333 0.333 0.030
As3 As 0.667 0.667 0.970
As4 As 0.898 0.898 0.599
Pd1 Pd 0.000 0.000 0.500
Pd2 Pd 0.135 0.135 0.845
Pd3 Pd 0.306 0.306 0.585
Pd4 Pd 0.496 0.496 0.317
Pd5 Pd 0.504 0.504 0.683
Pd6 Pd 0.694 0.694 0.415
Pd7 Pd 0.865 0.865 0.155


# RbYPb PBE optimized geometry
# - Relative energy among the computed polymorphs: 176 meV/atom
# - Crystal system: orthorhombic
# - Calculated formation energy: -0.110 eV/atom
data_RbYPb
_chemical_formula_sum 'Rb2 Y2 Pb2'
_cell_length_a 6.769
_cell_length_b 3.700
_cell_length_c 9.170
_cell_angle_alpha 90.00
_cell_angle_beta 90.00
_cell_angle_gamma 90.00
_symmetry_space_group_name_H-M 'P 1'
_symmetry_Int_Tables_number 1
_symmetry_space_group_name_Hall 'P 1'
loop_
_atom_site_label
_atom_site_type_symbol
_atom_site_fract_x
_atom_site_fract_y
_atom_site_fract_z
Rb1 Rb 0.250 0.000 0.107
Rb2 Rb 0.750 0.000 0.893
Y1 Y 0.000 0.000 0.500
Y2 Y 0.500 0.000 0.500
Pb1 Pb 0.250 0.500 0.730
Pb2 Pb 0.750 0.500 0.270


# Pr4NO PBE optimized geometry
# - Crystal system: orthorhombic
# - Formation energy from raw total energies: -7.43 eV/f.u.
data_Pr4NO
_chemical_formula_sum 'Pr8 N2 O2'
_cell_length_a 6.388
_cell_length_b 5.942
_cell_length_c 7.337
_cell_angle_alpha 90.00
_cell_angle_beta 90.00
_cell_angle_gamma 90.00
_symmetry_space_group_name_H-M 'P 1'
_symmetry_Int_Tables_number 1
_symmetry_space_group_name_Hall 'P 1'
loop_
_atom_site_label
_atom_site_type_symbol
_atom_site_fract_x
_atom_site_fract_y
_atom_site_fract_z
Pr1 Pr 0.163 0.245 0.000
Pr2 Pr 0.163 0.255 0.500
Pr3 Pr 0.332 0.738 0.756
Pr4 Pr 0.332 0.762 0.256
Pr5 Pr 0.668 0.238 0.256
Pr6 Pr 0.668 0.262 0.756
Pr7 Pr 0.837 0.745 0.500
Pr8 Pr 0.837 0.755 0.000
N1 N 0.000 0.000 0.246
N2 N 0.000 0.500 0.746
O1 O 0.500 0.000 0.006
O2 O 0.500 0.500 0.506


# ZrFe2Rh PBE optimized geometry
# - Crystal system: trigonal
# - Calculated formation energy: 0.113 eV/atom
data_ZrFe2Rh
_chemical_formula_sum 'Zr1 Fe2 Rh1'
_cell_length_a 8.518
_cell_length_b 8.518
_cell_length_c 8.518
_cell_angle_alpha 19.66
_cell_angle_beta 19.66
_cell_angle_gamma 19.66
_symmetry_space_group_name_H-M 'P 1'
_symmetry_Int_Tables_number 1
_symmetry_space_group_name_Hall 'P 1'
loop_
_atom_site_label
_atom_site_type_symbol
_atom_site_fract_x
_atom_site_fract_y
_atom_site_fract_z
Zr1 Zr 0.000 0.000 0.000
Fe1 Fe 0.495 0.495 0.495
Fe2 Fe 0.757 0.757 0.757
Rh1 Rh 0.242 0.242 0.242


# YEr3TmTh PBE optimized geometry
# - Crystal system: monoclinic
# - Calculated formation energy: -0.004 eV/atom
data_YEr3TmTh
_chemical_formula_sum 'Y2 Er6 Tm2 Th2'
_cell_length_a 9.434
_cell_length_b 3.567
_cell_length_c 11.819
_cell_angle_alpha 90.00
_cell_angle_beta 110.20
_cell_angle_gamma 90.00
_symmetry_space_group_name_H-M 'P 1'
_symmetry_Int_Tables_number 1
_symmetry_space_group_name_Hall 'P 1'
loop_
_atom_site_label
_atom_site_type_symbol
_atom_site_fract_x
_atom_site_fract_y
_atom_site_fract_z
Y1 Y 0.181 0.250 0.345
Y2 Y 0.819 0.750 0.655
Er1 Er 0.073 0.250 0.903
Er2 Er 0.322 0.750 0.150
Er3 Er 0.432 0.750 0.598
Er4 Er 0.568 0.250 0.402
Er5 Er 0.678 0.250 0.850
Er6 Er 0.927 0.750 0.097
Tm1 Tm 0.128 0.250 0.625
Tm2 Tm 0.872 0.750 0.375
Th1 Th 0.375 0.750 0.875
Th2 Th 0.625 0.250 0.125